No. 1
Here is ThAgTe4 after structural relaxation from the Alexandria database. Energies are from PBE.

a = 6.181 Å, b = 10.280 Å, c = 7.398 Å
α = 90.00°, β = 105.59°, γ = 90.00°
Fractional positions:
Th: 0.020 0.250 0.171
Th: 0.980 0.750 0.829
Ag: 0.234 0.750 0.410
Ag: 0.766 0.250 0.590
Te: 0.056 0.064 0.834
Te: 0.056 0.436 0.834
Te: 0.290 0.250 0.591
Te: 0.458 0.750 0.786
Te: 0.542 0.250 0.214
Te: 0.710 0.750 0.409
Te: 0.944 0.564 0.166
Te: 0.944 0.936 0.166

Results
- E: -4.27 eV/atom
- N(E_F): 4.166 states/eV/f.u.
- Formation energy (no corrections): -2.80 eV/f.u.
- Symmetry: P2_1/m

---

No. 2
Here is YTm4Sc2 after structural relaxation from the Alexandria database. Energies are from PBE.

a = 5.816 Å, b = 8.178 Å, c = 9.220 Å
α = 88.65°, β = 77.17°, γ = 71.78°
Fractional positions:
Y: 0.000 0.000 0.000
Y: 0.388 0.214 0.948
Tm: 0.130 0.588 0.137
Tm: 0.394 0.325 0.584
Tm: 0.523 0.870 0.711
Tm: 0.558 0.806 0.087
Tm: 0.677 0.367 0.214
Tm: 0.692 0.473 0.843
Tm: 0.771 0.949 0.360
Tm: 0.952 0.095 0.648
Sc: 0.084 0.679 0.782
Sc: 0.211 0.159 0.307
Sc: 0.311 0.734 0.438
Sc: 0.869 0.530 0.487

Results
- ΔH_f (0 K): 0.09 eV/atom
- E: -5.20 eV/atom
- Relative energy among the computed polymorphs: 0 meV/atom
- N(E_F): 12.501 states/eV/f.u.
- Symmetry: P1

---

No. 3
Here is LaCd2Os after structural relaxation from the Alexandria database. Energies are from PBE.

a = 2.962 Å, b = 2.962 Å, c = 10.792 Å
α = 90.00°, β = 90.00°, γ = 115.68°
Fractional positions:
La: 0.000 0.000 0.000
Cd: 0.500 0.500 0.282
Cd: 0.500 0.500 0.718
Os: 0.000 0.000 0.500

Results
- ΔH_f (0 K): 0.52 eV/atom
- E: -3.98 eV/atom
- N(E_F): 3.562 states/eV/f.u.
- Symmetry: Cmmm

---

No. 4
Here is TcP3 after structural relaxation from the Alexandria database. Energies are from PBE.

a = 3.275 Å, b = 4.566 Å, c = 4.043 Å
α = 90.00°, β = 99.82°, γ = 90.00°
Fractional positions:
Tc: 0.000 0.000 0.000
P: 0.214 0.500 0.811
P: 0.500 0.000 0.500
P: 0.786 0.500 0.189

Results
- ΔH_f (0 K): 0.11 eV/atom
- E: -6.54 eV/atom
- Relative energy among the computed polymorphs: 552 meV/atom
- N(E_F): 1.579 states/eV/f.u.
- Symmetry: P2/m

---

No. 5
Here is FeRuPt after structural relaxation from the Alexandria database. Energies are from PBE.

a = 4.687 Å, b = 4.687 Å, c = 4.687 Å
α = 146.43°, β = 132.67°, γ = 59.27°
Fractional positions:
Fe: 0.000 0.000 0.000
Ru: 0.345 0.345 0.000
Pt: 0.671 0.671 0.000

Results
- ΔH_f (0 K): 0.01 eV/atom
- E: -7.92 eV/atom
- Relative energy among the computed polymorphs: 31 meV/atom
- N(E_F): 3.547 states/eV/f.u.
- Symmetry: Imm2

---

No. 6
Here is TiZnSb2I after structural relaxation from the Alexandria database. Energies are from PBE.

a = 5.103 Å, b = 5.103 Å, c = 5.643 Å
α = 90.00°, β = 90.00°, γ = 90.00°
Fractional positions:
Ti: 0.000 0.000 0.000
Zn: 0.500 0.500 0.500
Sb: 0.000 0.500 0.500
Sb: 0.500 0.000 0.500
I: 0.500 0.500 0.000

Results
- E: -3.01 eV/atom
- Relative energy among the computed polymorphs: 562 meV/atom
- N(E_F): 6.669 states/eV/f.u.
- Formation energy (no corrections): 3.89 eV/f.u.
- Symmetry: P4/mmm

---

No. 7
Here is Ag5Cl6 after structural relaxation from the Alexandria database. Energies are from PBE.

a = 6.879 Å, b = 6.879 Å, c = 6.634 Å
α = 97.58°, β = 97.58°, γ = 122.32°
Fractional positions:
Ag: 0.000 0.000 0.000
Ag: 0.165 0.835 0.500
Ag: 0.338 0.662 0.000
Ag: 0.662 0.338 0.000
Ag: 0.835 0.165 0.500
Cl: 0.069 0.418 0.249
Cl: 0.243 0.243 0.759
Cl: 0.418 0.069 0.249
Cl: 0.582 0.931 0.751
Cl: 0.757 0.757 0.241
Cl: 0.931 0.582 0.751

Results
- E: -2.72 eV/atom
- Relative energy among the computed polymorphs: 5 meV/atom
- N(E_F): 9.279 states/eV/f.u.
- Formation energy (no corrections): -4.61 eV/f.u.
- Symmetry: C2/m

---

No. 8
Here is KYSi2 after structural relaxation from the Alexandria database. Energies are from PBE.

a = 3.350 Å, b = 4.307 Å, c = 7.324 Å
α = 90.00°, β = 90.00°, γ = 90.00°
Fractional positions:
K: 0.000 0.000 0.000
Y: 0.000 0.000 0.500
Si: 0.500 0.500 0.333
Si: 0.500 0.500 0.667

Results
- E: -4.85 eV/atom
- Relative energy among the computed polymorphs: 0 meV/atom
- N(E_F): 1.126 states/eV/f.u.
- Formation energy (no corrections): -1.00 eV/f.u.
- Symmetry: Pmmm

---

No. 9
Here is Te3W after structural relaxation from the Alexandria database. Energies are from PBE.

a = 9.394 Å, b = 9.394 Å, c = 6.180 Å
α = 90.00°, β = 90.00°, γ = 120.00°
Fractional positions:
Te: 0.000 0.500 0.000
Te: 0.000 0.500 0.500
Te: 0.138 0.277 0.250
Te: 0.138 0.862 0.250
Te: 0.277 0.138 0.750
Te: 0.500 0.000 0.000
Te: 0.500 0.000 0.500
Te: 0.500 0.500 0.000
Te: 0.500 0.500 0.500
Te: 0.723 0.862 0.250
Te: 0.862 0.138 0.750
Te: 0.862 0.723 0.750
W: 0.000 0.000 0.000
W: 0.000 0.000 0.500
W: 0.333 0.667 0.750
W: 0.667 0.333 0.250

Results
- E: -4.90 eV/atom
- Relative energy among the computed polymorphs: 583 meV/atom
- N(E_F): 2.977 states/eV/f.u.
- Formation energy (no corrections): 2.77 eV/f.u.
- Symmetry: P6_3/mmc

---

No. 10
Here is PuZrP after structural relaxation from the Alexandria database. Energies are from PBE.

a = 4.488 Å, b = 4.488 Å, c = 3.746 Å
α = 90.00°, β = 90.00°, γ = 120.00°
Fractional positions:
Pu: 0.000 0.000 0.000
Zr: 0.667 0.333 0.500
P: 0.333 0.667 0.500

Results
- ΔH_f (0 K): -0.47 eV/atom
- E: -9.90 eV/atom
- N(E_F): 6.602 states/eV/f.u.
- Symmetry: P-6m2

---

No. 11
Here is MgPaAg4 after structural relaxation from the Alexandria database. Energies are from PBE.

a = 5.598 Å, b = 5.598 Å, c = 5.598 Å
α = 60.00°, β = 60.00°, γ = 60.00°
Fractional positions:
Mg: 0.000 0.000 0.000
Pa: 0.250 0.250 0.250
Ag: 0.124 0.625 0.625
Ag: 0.625 0.124 0.625
Ag: 0.625 0.625 0.124
Ag: 0.625 0.625 0.625

Results
- ΔH_f (0 K): 0.11 eV/atom
- E: -3.64 eV/atom
- N(E_F): 6.173 states/eV/f.u.
- Symmetry: F-43m

---

No. 12
Here is OsPt3 after structural relaxation from the Alexandria database. Energies are from PBE.

a = 2.782 Å, b = 2.782 Å, c = 7.924 Å
α = 90.00°, β = 90.00°, γ = 90.00°
Fractional positions:
Os: 0.000 0.000 0.000
Pt: 0.000 0.000 0.500
Pt: 0.500 0.500 0.237
Pt: 0.500 0.500 0.763

Results
- ΔH_f (0 K): 0.05 eV/atom
- E: -7.28 eV/atom
- N(E_F): 5.768 states/eV/f.u.
- Symmetry: P4/mmm

---

No. 13
Here is La2ErMg after structural relaxation from the Alexandria database. Energies are from PBE.

a = 12.015 Å, b = 12.015 Å, c = 12.015 Å
α = 17.07°, β = 17.07°, γ = 17.07°
Fractional positions:
La: 0.000 0.000 0.000
La: 0.166 0.166 0.166
Er: 0.583 0.583 0.583
Mg: 0.416 0.416 0.416

Results
- ΔH_f (0 K): 0.05 eV/atom
- E: -3.96 eV/atom
- Relative energy among the computed polymorphs: 70 meV/atom
- N(E_F): 5.496 states/eV/f.u.
- Symmetry: R3m

---

Number 1: total magnetization 0.00 μB per cell. Number 2: total magnetization 0.00 μB per cell. Number 3: total magnetization 0.62 μB per cell. Number 4: total magnetization 0.00 μB per cell. Number 5: total magnetization 1.80 μB per cell. Number 6: total magnetization 0.07 μB per cell. Number 7: total magnetization 0.00 μB per cell. Number 8: total magnetization 0.00 μB per cell. Number 9: total magnetization 7.20 μB per cell. Number 10: total magnetization 5.80 μB per cell. Number 11: total magnetization 1.05 μB per cell. Number 12: total magnetization 0.00 μB per cell. Number 13: total magnetization 0.00 μB per cell.